1.
PmAl3CoRh: optimized geometry, PBE.

Output
Final energy (eV per atom): -5.532

CIF file:
```
data_PmAl3CoRh
_space_group_name_H-M_alt 'C m c m'
_space_group_IT_number 63
_space_group_name_Hall '-C 2c 2'
_cell_length_a 7.421
_cell_length_b 10.771
_cell_length_c 5.577
_cell_angle_alpha 90.00
_cell_angle_beta 90.00
_cell_angle_gamma 90.00
loop_
_atom_site_label
_atom_site_type_symbol
_atom_site_fract_x
_atom_site_fract_y
_atom_site_fract_z
Pm1 Pm 0.000 0.218 0.250
Al1 Al 0.000 0.328 0.750
Al2 Al 0.244 0.000 0.000
Co1 Co 0.000 0.460 0.250
Rh1 Rh 0.000 0.097 0.750
```

---

2.
PmAlCoRh: optimized geometry, PBE.

Output
Final energy (eV per atom): -6.148

CIF file:
```
data_PmAlCoRh
_space_group_name_H-M_alt 'F -4 3 m'
_space_group_IT_number 216
_space_group_name_Hall 'F -4 2 3'
_cell_length_a 6.465
_cell_length_b 6.465
_cell_length_c 6.465
_cell_angle_alpha 90.00
_cell_angle_beta 90.00
_cell_angle_gamma 90.00
loop_
_atom_site_label
_atom_site_type_symbol
_atom_site_fract_x
_atom_site_fract_y
_atom_site_fract_z
Pm1 Pm 0.000 0.000 0.000
Al1 Al 0.000 0.000 0.500
Co1 Co 0.250 0.250 0.750
Rh1 Rh 0.250 0.250 0.250
```

---

3.
Pm2ScAl12Co3: optimized geometry, PBE.

Output
Final energy (eV per atom): -4.519

CIF file:
```
data_Pm2ScAl12Co3
_space_group_name_H-M_alt 'R -3 m'
_space_group_IT_number 166
_space_group_name_Hall '-R 3 2"'
_cell_length_a 8.3872
_cell_length_b 8.3872
_cell_length_c 18.5093
_cell_angle_alpha 90.00
_cell_angle_beta 90.00
_cell_angle_gamma 120.00
loop_
_atom_site_label
_atom_site_type_symbol
_atom_site_fract_x
_atom_site_fract_y
_atom_site_fract_z
Pm1 Pm 0.0000 0.0000 0.0838
Sc1 Sc 0.0000 0.0000 0.5000
Al1 Al 0.0803 0.5402 0.8809
Al2 Al 0.0824 0.5412 0.3158
Co1 Co 0.0000 0.5000 0.0000
```

---

4.
PmScAlCo: optimized geometry, PBE.

Output
Final energy (eV per atom): -5.654

CIF file:
```
data_PmScAlCo
_space_group_name_H-M_alt 'F -4 3 m'
_space_group_IT_number 216
_space_group_name_Hall 'F -4 2 3'
_cell_length_a 6.901
_cell_length_b 6.901
_cell_length_c 6.901
_cell_angle_alpha 90.00
_cell_angle_beta 90.00
_cell_angle_gamma 90.00
loop_
_atom_site_label
_atom_site_type_symbol
_atom_site_fract_x
_atom_site_fract_y
_atom_site_fract_z
Pm1 Pm 0.000 0.000 0.000
Sc1 Sc 0.000 0.000 0.500
Al1 Al 0.250 0.250 0.250
Co1 Co 0.250 0.250 0.750
```

---

5.
Pm2AlCo5Si2: optimized geometry, PBE.

Output
Formation energy without anion corrections (eV/atom): -0.354

CIF file:
```
data_Pm2AlCo5Si2
_space_group_name_H-M_alt 'P 4/m b m'
_space_group_IT_number 127
_space_group_name_Hall '-P 4 2ab'
_cell_length_a 9.608
_cell_length_b 9.608
_cell_length_c 3.257
_cell_angle_alpha 90.00
_cell_angle_beta 90.00
_cell_angle_gamma 90.00
loop_
_atom_site_label
_atom_site_type_symbol
_atom_site_fract_x
_atom_site_fract_y
_atom_site_fract_z
Pm1 Pm 0.178 0.322 0.000
Al1 Al 0.000 0.000 0.000
Co1 Co 0.000 0.500 0.500
Co2 Co 0.065 0.782 0.500
Si1 Si 0.119 0.619 0.000
```

---

6.
PmAlCoSi2: optimized geometry, PBE.

Output
Formation energy without anion corrections (eV/atom): -0.498

CIF file:
```
data_PmAlCoSi2
_space_group_name_H-M_alt 'P m m a'
_space_group_IT_number 51
_cell_length_a 5.288
_cell_length_b 5.814
_cell_length_c 5.593
_cell_angle_alpha 90.00
_cell_angle_beta 90.00
_cell_angle_gamma 90.00
loop_
_space_group_symop_operation_xyz
'x,y,z'
'-x,-y,-z'
'-x+1/2,-y,z'
'x+1/2,y,-z'
'x+1/2,-y,-z'
'-x+1/2,y,z'
'-x,y,-z'
'x,-y,z'
loop_
_atom_site_label
_atom_site_type_symbol
_atom_site_fract_x
_atom_site_fract_y
_atom_site_fract_z
Pm1 Pm 0.250 0.000 0.234
Al1 Al 0.250 0.500 0.354
Co1 Co 0.000 0.500 0.000
Si1 Si 0.250 0.277 0.741
```

---

7.
Pm2TmAl12Co3: optimized geometry, PBE.

Output
Final energy (eV per atom): -4.442

CIF file:
```
data_Pm2TmAl12Co3
_space_group_name_H-M_alt 'R -3 m'
_space_group_IT_number 166
_space_group_name_Hall '-R 3 2"'
_cell_length_a 8.4030
_cell_length_b 8.4030
_cell_length_c 18.6969
_cell_angle_alpha 90.00
_cell_angle_beta 90.00
_cell_angle_gamma 120.00
loop_
_atom_site_label
_atom_site_type_symbol
_atom_site_fract_x
_atom_site_fract_y
_atom_site_fract_z
Pm1 Pm 0.0000 0.0000 0.0848
Tm1 Tm 0.0000 0.0000 0.5000
Al1 Al 0.0799 0.5400 0.3179
Al2 Al 0.0867 0.5434 0.8825
Co1 Co 0.0000 0.5000 0.0000
```

---

8.
PmTmAlCo: optimized geometry, PBE.

Output
Final energy (eV per atom): -5.181

CIF file:
```
data_PmTmAlCo
_space_group_name_H-M_alt 'F -4 3 m'
_space_group_IT_number 216
_space_group_name_Hall 'F -4 2 3'
_cell_length_a 7.062
_cell_length_b 7.062
_cell_length_c 7.062
_cell_angle_alpha 90.00
_cell_angle_beta 90.00
_cell_angle_gamma 90.00
loop_
_atom_site_label
_atom_site_type_symbol
_atom_site_fract_x
_atom_site_fract_y
_atom_site_fract_z
Pm1 Pm 0.000 0.000 0.000
Tm1 Tm 0.000 0.000 0.500
Al1 Al 0.250 0.250 0.750
Co1 Co 0.250 0.250 0.250
```